Record 1
A plane-wave DFT calculation with GGA-PBE was carried out for crystalline SrPuPb at its relaxed geometry.

```
12
Lattice="3.4509 0.0000 0.0000 0.0000 3.4509 0.0000 0.0000 0.0000 28.2690" Properties=species:S:1:pos:R:3 pbc="T T T"
Sr 0.0000 0.0000 1.8547
Sr 0.0000 0.0000 26.4143
Sr 1.7254 1.7254 12.2798
Sr 1.7254 1.7254 15.9892
Pu 0.0000 0.0000 6.6821
Pu 0.0000 0.0000 21.5869
Pu 1.7254 1.7254 7.4524
Pu 1.7254 1.7254 20.8166
Pb 0.0000 0.0000 9.7965
Pb 0.0000 0.0000 18.4725
Pb 1.7254 1.7254 4.3380
Pb 1.7254 1.7254 23.9310
```

Calculated values
energy above the most stable polymorph in this dataset: 389 meV/atom
DOS at the Fermi energy: 3.76 states/eV/f.u.
total magnetization: 0.00 Bohr magnetons per cell
DFT total energy: -0.238 Ha/atom
formation energy: 0.0981 eV/atom

---

Record 2
A plane-wave DFT calculation with GGA-PBE was carried out for crystalline SrPuPb at its relaxed geometry.

```
6
Lattice="4.7194 0.0000 0.0000 0.0000 4.7194 0.0000 0.0000 0.0000 9.1387" Properties=species:S:1:pos:R:3 pbc="T T T"
Sr 1.1798 1.1798 1.3269
Sr 3.5395 3.5395 7.8118
Pu 1.1798 3.5395 4.5694
Pu 3.5395 1.1798 4.5694
Pb 1.1798 1.1798 6.9080
Pb 3.5395 3.5395 2.2307
```

Calculated values
energy above the most stable polymorph in this dataset: 0 meV/atom
DOS at the Fermi energy: 5.00 states/eV/f.u.
total magnetization: 12.27 Bohr magnetons per cell
DFT total energy: -0.252 Ha/atom
formation energy: -0.2907 eV/atom

---

Record 3
A plane-wave DFT calculation with GGA-PBE was carried out for crystalline SrPuPb6 at its relaxed geometry.

```
8
Lattice="4.9436 0.0000 0.0000 0.0000 4.9436 0.0000 0.0000 0.0000 9.8890" Properties=species:S:1:pos:R:3 pbc="T T T"
Sr 0.0000 0.0000 0.0000
Pu 0.0000 0.0000 4.9445
Pb 0.0000 2.4718 2.5461
Pb 0.0000 2.4718 7.3429
Pb 2.4718 0.0000 2.5461
Pb 2.4718 0.0000 7.3429
Pb 2.4718 2.4718 0.0000
Pb 2.4718 2.4718 4.9445
```

Calculated values
DOS at the Fermi energy: 14.37 states/eV/f.u.
total magnetization: 5.89 Bohr magnetons per cell
DFT total energy: -0.185 Ha/atom
formation energy: -0.2550 eV/atom

---

Record 4
A plane-wave DFT calculation with GGA-PBE was carried out for crystalline SrPu2Pb9 at its relaxed geometry.

```
12
Lattice="4.9145 0.0000 0.0000 0.0000 4.9145 0.0000 0.0000 0.0000 14.7699" Properties=species:S:1:pos:R:3 pbc="T T T"
Sr 0.0000 0.0000 0.0000
Pu 0.0000 0.0000 5.0043
Pu 0.0000 0.0000 9.7655
Pb 0.0000 2.4573 2.5548
Pb 0.0000 2.4573 7.3849
Pb 0.0000 2.4573 12.2151
Pb 2.4573 0.0000 2.5548
Pb 2.4573 0.0000 7.3849
Pb 2.4573 0.0000 12.2151
Pb 2.4573 2.4573 0.0000
Pb 2.4573 2.4573 4.9562
Pb 2.4573 2.4573 9.8137
```

Calculated values
DOS at the Fermi energy: 25.12 states/eV/f.u.
total magnetization: 11.68 Bohr magnetons per cell
DFT total energy: -0.203 Ha/atom
formation energy: -0.2204 eV/atom

---

Record 5
A plane-wave DFT calculation with GGA-PBE was carried out for crystalline Sr2PuPb at its relaxed geometry.

```
12
Lattice="3.8202 0.0000 0.0000 -1.9101 3.3084 0.0000 0.0000 0.0000 37.4905" Properties=species:S:1:pos:R:3 pbc="T T T"
Sr 0.0000 0.0000 3.5924
Sr 0.0000 0.0000 33.8981
Sr 0.0000 2.2056 21.4013
Sr 0.0000 2.2056 28.5861
Sr 1.9101 1.1028 8.9045
Sr 1.9101 1.1028 16.0893
Pu 0.0000 0.0000 0.0000
Pu 0.0000 2.2056 24.9937
Pu 1.9101 1.1028 12.4968
Pb 0.0000 0.0000 18.7453
Pb 0.0000 2.2056 6.2484
Pb 1.9101 1.1028 31.2421
```

Calculated values
DOS at the Fermi energy: 13.11 states/eV/f.u.
total magnetization: 18.99 Bohr magnetons per cell
DFT total energy: -0.189 Ha/atom
formation energy: 0.2073 eV/atom

---

Record 6
A plane-wave DFT calculation with GGA-PBE was carried out for crystalline SrPu2Pb3 at its relaxed geometry.

```
6
Lattice="4.0999 0.0000 0.0000 0.0000 4.0999 0.0000 0.0000 0.0000 10.9839" Properties=species:S:1:pos:R:3 pbc="T T T"
Sr 0.0000 0.0000 0.0000
Pu 0.0000 0.0000 3.8862
Pu 0.0000 0.0000 7.0977
Pb 2.0499 2.0499 2.0796
Pb 2.0499 2.0499 5.4920
Pb 2.0499 2.0499 8.9044
```

Calculated values
DOS at the Fermi energy: 23.09 states/eV/f.u.
total magnetization: 11.64 Bohr magnetons per cell
DFT total energy: -0.261 Ha/atom
formation energy: -0.1987 eV/atom

---

Record 7
A plane-wave DFT calculation with GGA-PBE was carried out for crystalline SrPuPb at its relaxed geometry.

```
3
Lattice="5.5851 0.0000 0.0000 -2.7925 4.8368 0.0000 0.0000 0.0000 3.7345" Properties=species:S:1:pos:R:3 pbc="T T T"
Sr 0.0000 0.0000 0.0000
Pu 0.0000 3.2246 1.6573
Pb 2.7925 1.6123 2.2370
```

Calculated values
energy above the most stable polymorph in this dataset: 276 meV/atom
DOS at the Fermi energy: 9.77 states/eV/f.u.
total magnetization: 6.32 Bohr magnetons per cell
DFT total energy: -0.242 Ha/atom
formation energy: -0.0148 eV/atom

---

Record 8
A plane-wave DFT calculation with GGA-PBE was carried out for crystalline Tb5PuPb4 at its relaxed geometry.

```
10
Lattice="8.8939 -1.8293 0.0000 8.8939 1.8293 0.0000 -0.5364 0.0000 9.8494" Properties=species:S:1:pos:R:3 pbc="T T T"
Tb 0.0000 0.0000 0.0000
Tb 5.4270 0.0000 1.1466
Tb 5.7575 0.0000 7.3098
Tb 11.4940 0.0000 2.5396
Tb 11.8245 0.0000 8.7028
Pu -0.2682 0.0000 4.9247
Pb 2.9374 0.0000 5.5790
Pb 8.3033 0.0000 2.4157
Pb 8.9482 0.0000 7.4337
Pb 14.3141 0.0000 4.2704
```

Calculated values
DOS at the Fermi energy: 17.01 states/eV/f.u.
total magnetization: 5.59 Bohr magnetons per cell
DFT total energy: -0.196 Ha/atom
formation energy: -0.1093 eV/atom

---

Record 9
A plane-wave DFT calculation with GGA-PBE was carried out for crystalline TbPuPb at its relaxed geometry.

```
6
Lattice="5.5490 0.0000 0.0000 -2.7745 4.8056 0.0000 0.0000 0.0000 6.3657" Properties=species:S:1:pos:R:3 pbc="T T T"
Tb 0.0000 3.2037 1.5914
Tb 2.7745 1.6019 4.7743
Pu 0.0000 0.0000 0.0000
Pu 0.0000 0.0000 3.1828
Pb 0.0000 3.2037 4.7743
Pb 2.7745 1.6019 1.5914
```

Calculated values
energy above the most stable polymorph in this dataset: 0 meV/atom
DOS at the Fermi energy: 6.91 states/eV/f.u.
total magnetization: 13.54 Bohr magnetons per cell
DFT total energy: -0.289 Ha/atom
formation energy: -0.3053 eV/atom

---

Record 10
A plane-wave DFT calculation with GGA-PBE was carried out for crystalline TbPuPb at its relaxed geometry.

```
6
Lattice="4.0974 0.0000 0.0000 0.0000 4.0974 0.0000 0.0000 0.0000 10.2638" Properties=species:S:1:pos:R:3 pbc="T T T"
Tb 0.0000 0.0000 0.0000
Tb 2.0487 2.0487 5.1319
Pu 0.0000 0.0000 3.2114
Pu 2.0487 2.0487 8.3433
Pb 0.0000 0.0000 6.6641
Pb 2.0487 2.0487 1.5322
```

Calculated values
energy above the most stable polymorph in this dataset: 196 meV/atom
DOS at the Fermi energy: 8.39 states/eV/f.u.
total magnetization: 14.00 Bohr magnetons per cell
DFT total energy: -0.282 Ha/atom
formation energy: -0.1097 eV/atom

---

Record 11
A plane-wave DFT calculation with GGA-PBE was carried out for crystalline TbPuPb at its relaxed geometry.

```
3
Lattice="5.3569 0.0000 0.0000 -2.6784 4.6392 0.0000 0.0000 0.0000 3.5246" Properties=species:S:1:pos:R:3 pbc="T T T"
Tb 0.0000 0.0000 0.0000
Pu 2.6784 1.5464 2.0312
Pb 0.0000 3.0928 0.8663
```

Calculated values
energy above the most stable polymorph in this dataset: 226 meV/atom
DOS at the Fermi energy: 6.90 states/eV/f.u.
total magnetization: 6.75 Bohr magnetons per cell
DFT total energy: -0.281 Ha/atom
formation energy: -0.0788 eV/atom

---

Record 12
A plane-wave DFT calculation with GGA-PBE was carried out for crystalline TbPuPb2 at its relaxed geometry.

```
4
Lattice="3.5087 0.0000 0.0000 0.0000 3.5087 0.0000 0.0000 0.0000 9.1479" Properties=species:S:1:pos:R:3 pbc="T T T"
Tb 0.0000 0.0000 0.0000
Pu 0.0000 0.0000 4.5739
Pb 1.7543 1.7543 2.2579
Pb 1.7543 1.7543 6.8900
```

Calculated values
DOS at the Fermi energy: 9.60 states/eV/f.u.
total magnetization: 6.10 Bohr magnetons per cell
DFT total energy: -0.254 Ha/atom
formation energy: -0.3133 eV/atom

---

Which value of total magnetization does entry 8 give? 5.59 Bohr magnetons per cell

---

What did the sixth record say?
A plane-wave DFT calculation with GGA-PBE was carried out for crystalline SrPu2Pb3 at its relaxed geometry.

```
6
Lattice="4.0999 0.0000 0.0000 0.0000 4.0999 0.0000 0.0000 0.0000 10.9839" Properties=species:S:1:pos:R:3 pbc="T T T"
Sr 0.0000 0.0000 0.0000
Pu 0.0000 0.0000 3.8862
Pu 0.0000 0.0000 7.0977
Pb 2.0499 2.0499 2.0796
Pb 2.0499 2.0499 5.4920
Pb 2.0499 2.0499 8.9044
```

Calculated values
DOS at the Fermi energy: 23.09 states/eV/f.u.
total magnetization: 11.64 Bohr magnetons per cell
DFT total energy: -0.261 Ha/atom
formation energy: -0.1987 eV/atom

---

Which value of total magnetization does entry 6 give? 11.64 Bohr magnetons per cell

---

Among the records above, which one has the highest total magnetization? Sr2PuPb